1.
Entry from Alexandria: RbBi3Os after structural relaxation (PBE).

a b c (Å): 5.525 5.525 5.525
angles (deg): 90.00 90.00 90.00
Fractional coordinates of all 5 atoms:
Os: 0.000 0.000 0.000
Bi: 0.000 0.500 0.000
Bi: 0.000 0.000 0.500
Bi: 0.500 0.000 0.000
Rb: 0.500 0.500 0.500

Results
As for the density of states at the Fermi level: 6.421 states/eV/cell. As for the calculated formation energy: 2.6 eV/f.u. The calculated volume comes out at 33.7 Å³ per atom. As for the offset from the most stable computed form: 0.000 eV/atom. As for the space group: Pm-3m.



2.
Entry from Alexandria: RbBi2Os2 after structural relaxation (PBE).

a b c (Å): 5.016 5.016 6.218
angles (deg): 66.22 66.22 90.00
Fractional coordinates of all 5 atoms:
Os: 0.385 0.385 0.230
Os: 0.615 0.615 0.770
Bi: 0.750 0.250 0.500
Bi: 0.250 0.750 0.500
Rb: 0.000 0.000 0.000

Results
As for the density of states at the Fermi level: 7.181 states/eV/cell. As for the calculated formation energy: 3.3 eV/f.u. The calculated volume comes out at 25.7 Å³ per atom. As for the offset from the most stable computed form: 0.000 eV/atom. As for the space group: I4/mmm.